1.
Ir2OsW | PBEsol | relaxed

Cell lengths 4.7422, 4.7422, 4.7422 Å; angles 132.22, 132.22, 69.88 degrees
Fractional coordinates of all 4 atoms:
Ir 0.2500 0.7500 0.5000
Ir 0.7500 0.2500 0.5000
Os 0.0000 0.0000 0.0000
W 0.5000 0.5000 0.0000

The total magnetization is 0.00 μB/cell. Its formation energy is -0.1849 eV per atom. As for the calculated density: 21.964 g/cm³. The calculation puts the total energy at -11.60 eV per atom.

---

2.
Ir2OsW | PBEsol | relaxed

Cell lengths 4.7414, 4.7414, 4.7109 Å; angles 99.74, 99.74, 33.49 degrees
Fractional coordinates of all 4 atoms:
Ir 0.2493 0.2493 0.2468
Ir 0.7507 0.7507 0.7532
Os 0.5000 0.5000 0.0000
W 0.0000 0.0000 0.5000

The total magnetization is 0.00 μB/cell. Its formation energy is -0.0678 eV per atom. As for the calculated density: 21.895 g/cm³. The calculation puts the total energy at -11.49 eV per atom.

---

3.
Ir2OsW | PBEsol | relaxed

Cell lengths 9.0786, 9.0786, 9.0786 Å; angles 17.27, 17.27, 17.27 degrees
Fractional coordinates of all 4 atoms:
Ir 0.2494 0.2494 0.2494
Ir 0.7506 0.7506 0.7506
Os 0.5000 0.5000 0.5000
W 0.0000 0.0000 0.0000

The total magnetization is 0.00 μB/cell. Its formation energy is -0.0140 eV per atom. As for the calculated density: 21.897 g/cm³. The calculation puts the total energy at -11.43 eV per atom.

---

4.
Ir2OsW | PBEsol | relaxed

Cell lengths 3.3121, 3.3121, 5.4047 Å; angles 90.00, 90.00, 90.00 degrees
Fractional coordinates of all 4 atoms:
Ir 0.0000 0.0000 0.2462
Ir 0.0000 0.0000 0.7538
Os 0.5000 0.5000 0.0000
W 0.5000 0.5000 0.5000

The total magnetization is 0.00 μB/cell. Its formation energy is 0.3017 eV per atom. As for the calculated density: 21.243 g/cm³. The calculation puts the total energy at -11.12 eV per atom.

---

5.
Ir2OsW | PBEsol | relaxed

Cell lengths 3.8337, 3.8337, 3.8964 Å; angles 90.00, 90.00, 90.00 degrees
Fractional coordinates of all 4 atoms:
Ir 0.0000 0.5000 0.0000
Ir 0.5000 0.0000 0.0000
Os 0.0000 0.0000 0.5000
W 0.5000 0.5000 0.5000

The total magnetization is 0.00 μB/cell. Its formation energy is -0.2314 eV per atom. As for the calculated density: 21.994 g/cm³. The calculation puts the total energy at -11.65 eV per atom.

---

6.
YIrOs2 | PBEsol | relaxed

Cell lengths 5.4597, 5.4597, 2.8016 Å; angles 102.32, 102.32, 121.09 degrees
Fractional coordinates of all 4 atoms:
Y 0.0000 0.0000 0.0000
Ir 0.5000 0.5000 0.0000
Os 0.0000 0.5000 0.5000
Os 0.5000 0.0000 0.5000

The total magnetization is 0.01 μB/cell. Its formation energy is 0.3404 eV per atom. As for the calculated density: 17.049 g/cm³. The calculation puts the total energy at -9.93 eV per atom.

---

7.
YIrOs2 | PBEsol | relaxed

Cell lengths 9.7762, 9.7762, 9.7762 Å; angles 16.23, 16.23, 16.23 degrees
Fractional coordinates of all 4 atoms:
Y 0.0000 0.0000 0.0000
Ir 0.5000 0.5000 0.5000
Os 0.2416 0.2416 0.2416
Os 0.7584 0.7584 0.7584

The total magnetization is 0.00 μB/cell. Its formation energy is 0.4640 eV per atom. As for the calculated density: 17.256 g/cm³. The calculation puts the total energy at -9.81 eV per atom.

---

8.
YIrOs2 | PBEsol | relaxed

Cell lengths 2.9284, 4.6363, 4.7573 Å; angles 90.00, 90.00, 90.00 degrees
Fractional coordinates of all 4 atoms:
Y 0.0000 0.0000 0.0000
Ir 0.5000 0.5000 0.0000
Os 0.0000 0.5000 0.5000
Os 0.5000 0.0000 0.5000

The total magnetization is 0.00 μB/cell. Its formation energy is 0.2719 eV per atom. As for the calculated density: 17.009 g/cm³. The calculation puts the total energy at -10.00 eV per atom.

---

Let's list polymorph energy (0 for the lowest one) in order: 0.21, 0.68, 0.90, 2.16, 0.03, 0.27, 0.77, 0.00 eV per formula unit.